# 1
! Li2TiCu (PBE, optimized geometry); values from VASP
! Energy above the lowest structure with this stoichiometry: 173 meV/atom
! V: 13.9 Å³/atom
! Energy of formation: 0.3544 eV/atom
! Density of states at the Fermi level: 5.93 states/eV/cell
&SYSTEM
  ibrav = 0, nat = 4, ntyp = 3
/
ATOMIC_SPECIES
Li 6.94 Li.upf
Cu 63.55 Cu.upf
Ti 47.87 Ti.upf
ATOMIC_POSITIONS crystal
Li 0.750 0.750 0.750
Li 0.250 0.250 0.250
Cu 0.500 0.500 0.500
Ti 0.000 0.000 0.000
CELL_PARAMETERS angstrom
0.000 3.030 3.030
3.030 0.000 3.030
3.030 3.030 0.000



# 2
! LiTiTlCu (PBE, optimized geometry); values from VASP
! V: 16.8 Å³/atom
! Energy of formation: 0.0450 eV/atom
! Density of states at the Fermi level: 2.50 states/eV/cell
&SYSTEM
  ibrav = 0, nat = 4, ntyp = 4
/
ATOMIC_SPECIES
Li 6.94 Li.upf
Tl 204.38 Tl.upf
Cu 63.55 Cu.upf
Ti 47.87 Ti.upf
ATOMIC_POSITIONS crystal
Li 0.750 0.750 0.750
Tl 0.000 0.000 0.000
Cu 0.500 0.500 0.500
Ti 0.250 0.250 0.250
CELL_PARAMETERS angstrom
-4.493 0.059 -0.781
-1.897 -3.193 -2.646
-2.678 -3.197 1.847



# 3
! LiYTi2Cu (PBE, optimized geometry); values from VASP
! V: 24.6 Å³/atom
! Energy of formation: 1.3746 eV/atom
! Density of states at the Fermi level: 7.37 states/eV/cell
&SYSTEM
  ibrav = 0, nat = 5, ntyp = 4
/
ATOMIC_SPECIES
Li 6.94 Li.upf
Ti 47.87 Ti.upf
Y 88.91 Y.upf
Cu 63.55 Cu.upf
ATOMIC_POSITIONS crystal
Li 0.500 0.500 0.500
Ti 0.500 0.000 0.000
Ti 0.000 0.500 0.000
Y 0.000 0.000 0.000
Cu 0.000 0.000 0.500
CELL_PARAMETERS angstrom
-2.765 1.353 3.872
-2.315 -4.370 -0.127
3.443 -1.915 3.127



Question: Number 2 is which compound?
Answer: LiTiTlCu